An optimized crystal structure of V2OsIO. Source: the Alexandria database, functional PBE with a Hubbard U.

Cell lengths 5.267, 3.751, 5.267 Å; angles 90.00, 90.00, 90.00 degrees
Positions (direct):
V 0.000 0.000 0.500
V 0.500 0.000 0.000
I 0.500 0.500 0.500
O 0.000 0.500 0.000
Os 0.000 0.000 0.000

- VASP energy (eV/atom) = -5.974
- total magnetic moment (μB per formula unit) = 6.4
- DOS(E_F) (states/eV per cell) = 3.8